DFT (GGA-PBEsol) results for a relaxed FeOsSe2N crystal.

## Properties
Its density of states at the Fermi level is 0.96 states/eV per atom. For the total energy, the calculation gives -33.668 eV per cell.

Unit cell a=4.695 b=4.695 c=3.260 alpha=90.00 beta=90.00 gamma=90.00
Sites, in units of the cell vectors:
Fe: 0.000 0.000 0.000
Os: 0.500 0.500 0.500
Se: 0.000 0.500 0.000
Se: 0.500 0.000 0.000
N: 0.000 0.000 0.500

=====

DFT (GGA-PBEsol) results for a relaxed Li2TaBe crystal.

## Properties
Its density of states at the Fermi level is 0.69 states/eV per atom. The value obtained for the formation energy is 492.5 meV per atom.

Unit cell a=2.649 b=2.649 c=7.878 alpha=90.00 beta=90.00 gamma=90.00
Sites, in units of the cell vectors:
Li: 0.000 0.000 0.211
Li: 0.000 0.000 0.789
Ta: 0.500 0.500 0.500
Be: 0.500 0.500 0.000

=====

DFT (GGA-PBEsol) results for a relaxed Be2SN crystal.

## Properties
Its density of states at the Fermi level is 0.60 states/eV per atom. For the total energy, the calculation gives -46.973 eV per cell.

Unit cell a=5.231 b=5.231 c=5.231 alpha=129.72 beta=129.72 gamma=73.86
Sites, in units of the cell vectors:
Be: 0.031 0.625 0.906
Be: 0.375 0.281 0.406
Be: 0.719 0.125 0.094
Be: 0.875 0.969 0.594
S: 0.250 0.750 0.500
S: 0.500 0.500 0.000
N: 0.000 0.000 0.000
N: 0.750 0.250 0.500

=====

DFT (GGA-PBEsol) results for a relaxed SbMoAsI2 crystal.

## Properties
Its density of states at the Fermi level is 0.82 states/eV per atom. For the total energy, the calculation gives -18.635 eV per cell.

Unit cell a=5.449 b=5.449 c=5.475 alpha=90.00 beta=90.00 gamma=90.00
Sites, in units of the cell vectors:
Sb: 0.000 0.000 0.000
Mo: 0.500 0.500 0.000
As: 0.000 0.000 0.500
I: 0.000 0.500 0.500
I: 0.500 0.000 0.500